# PBE Ho2Ag2O5, optimized geometry
# Total magnetic moment ... 0.00 μB per cell
# VASP energy ... -5.79 eV/atom
data_Ho2Ag2O5
_symmetry_space_group_name_H-M 'P 4/m m m'
_symmetry_Int_Tables_number 123
_symmetry_space_group_name_Hall '-P 4 2'
_cell_length_a 4.094
_cell_length_b 4.094
_cell_length_c 6.963
_cell_angle_alpha 90.00
_cell_angle_beta 90.00
_cell_angle_gamma 90.00
loop_
_atom_site_label
_atom_site_type_symbol
_atom_site_fract_x
_atom_site_fract_y
_atom_site_fract_z
Ho1 Ho 0.000 0.000 0.000
Ho2 Ho 0.000 0.000 0.500
Ag1 Ag 0.500 0.500 0.191
O1 O 0.000 0.500 0.213
O2 O 0.500 0.500 0.500